Entry 1:
Entry from the Alexandria database: an optimized crystal structure of Cs3Pr3TiSe8 (PBE).

Summary:
E_tot: -76.059 eV for the cell shown
ΔE_f (raw): -1559 meV per atom
total magnetic moment: 0.00 μB per formula unit
volume: 539 Å³/cell

Unit cell a=8.516 b=8.517 c=9.889 alpha=115.55 beta=90.00 gamma=119.99
Fractional coordinates of all 15 atoms:
Se1 0.793 0.031 0.324
Se2 0.207 0.415 0.676
Se3 0.207 0.969 0.676
Se4 0.269 0.537 0.306
Se5 0.731 0.463 0.694
Se6 0.793 0.585 0.324
Se7 0.238 0.031 0.324
Se8 0.762 0.969 0.676
Ti1 0.000 0.000 0.500
Pr1 0.500 0.000 0.500
Pr2 0.500 0.500 0.500
Pr3 0.000 0.500 0.500
Cs1 0.000 0.000 0.000
Cs2 0.000 0.500 0.000
Cs3 0.500 0.500 0.000

---

Entry 2:
Entry from the Alexandria database: an optimized crystal structure of Cs2PrTlSe4 (PBE).

Summary:
E_tot: -62.348 eV for the cell shown
ΔE_f (raw): -1048 meV per atom
total magnetic moment: 0.00 μB per formula unit
volume: 571 Å³/cell

Unit cell a=9.241 b=9.241 c=9.137 alpha=117.89 beta=117.89 gamma=93.16
Fractional coordinates of all 16 atoms:
Se1 0.254 0.290 0.478
Se2 0.779 0.303 0.548
Se3 0.210 0.246 0.022
Se4 0.221 0.697 0.452
Se5 0.746 0.710 0.522
Se6 0.790 0.754 0.978
Se7 0.803 0.279 0.048
Se8 0.197 0.721 0.952
Cs1 0.500 0.000 0.500
Cs2 0.500 0.000 0.000
Cs3 0.500 0.500 0.000
Cs4 0.000 0.000 0.500
Tl1 0.500 0.500 0.500
Tl2 0.000 0.000 0.000
Pr1 0.000 0.500 0.500
Pr2 0.000 0.500 0.000

---

Entry 3:
Entry from the Alexandria database: an optimized crystal structure of Cs2PrTmSe4 (PBE).

Summary:
E_tot: -38.578 eV for the cell shown
ΔE_f (raw): -1710 meV per atom
total magnetic moment: 0.00 μB per formula unit
volume: 272 Å³/cell

Unit cell a=4.327 b=7.500 c=8.755 alpha=106.54 beta=90.00 gamma=90.00
Fractional coordinates of all 8 atoms:
Pr1 0.500 0.500 0.000
Se1 0.500 0.783 0.815
Se2 0.000 0.742 0.190
Se3 0.500 0.217 0.185
Se4 0.000 0.258 0.810
Cs1 0.500 0.000 0.500
Cs2 0.000 0.500 0.500
Tm1 0.000 0.000 0.000

---

Entry 4:
Entry from the Alexandria database: an optimized crystal structure of Cs3PrTm2Se6 (PBE).

Summary:
E_tot: -57.721 eV for the cell shown
ΔE_f (raw): -1711 meV per atom
total magnetic moment: 0.00 μB per formula unit
volume: 401 Å³/cell

Unit cell a=7.432 b=7.432 c=8.742 alpha=98.16 beta=98.16 gamma=119.99
Fractional coordinates of all 12 atoms:
Se1 0.938 0.592 0.814
Se2 0.408 0.062 0.186
Se3 0.284 0.284 0.815
Se4 0.716 0.716 0.185
Se5 0.062 0.408 0.186
Se6 0.592 0.938 0.814
Cs1 0.164 0.836 0.500
Cs2 0.836 0.164 0.500
Cs3 0.500 0.500 0.500
Tm1 0.333 0.667 0.000
Tm2 0.667 0.333 0.000
Pr1 0.000 0.000 0.000

---

Entry 5:
Entry from the Alexandria database: an optimized crystal structure of Cs4Pr3USe8 (PBE).

Summary:
E_tot: -82.285 eV for the cell shown
ΔE_f (raw): -1585 meV per atom
total magnetic moment: 2.98 μB per formula unit
volume: 566 Å³/cell

Unit cell a=8.813 b=9.832 c=8.813 alpha=116.65 beta=120.00 gamma=90.00
Fractional coordinates of all 16 atoms:
Se1 0.226 0.690 0.964
Se2 0.731 0.693 0.462
Se3 0.262 0.310 0.036
Se4 0.269 0.307 0.538
Se5 0.738 0.690 0.964
Se6 0.226 0.690 0.452
Se7 0.774 0.310 0.036
Se8 0.774 0.310 0.548
Pr1 0.500 0.500 0.500
Pr2 0.500 0.500 0.000
Pr3 0.000 0.500 0.500
Cs1 0.500 0.000 0.500
Cs2 0.000 0.000 0.500
Cs3 0.500 0.000 0.000
Cs4 0.000 0.000 0.000
U1 0.000 0.500 0.000

---

Entry 6:
Entry from the Alexandria database: an optimized crystal structure of Cs3Pr2USe6 (PBE).

Summary:
E_tot: -62.786 eV for the cell shown
ΔE_f (raw): -1539 meV per atom
total magnetic moment: 2.96 μB per formula unit
volume: 423 Å³/cell

Unit cell a=7.618 b=7.618 c=8.792 alpha=98.31 beta=98.31 gamma=120.00
Fractional coordinates of all 12 atoms:
Se1 0.262 0.262 0.809
Se2 0.389 0.063 0.190
Se3 0.063 0.389 0.190
Se4 0.738 0.738 0.191
Se5 0.611 0.937 0.810
Se6 0.937 0.611 0.810
Cs1 0.169 0.831 0.500
Cs2 0.500 0.500 0.500
Cs3 0.831 0.169 0.500
Pr1 0.334 0.666 0.000
Pr2 0.666 0.334 0.000
U1 0.000 0.000 0.000

---

Entry 7:
Entry from the Alexandria database: an optimized crystal structure of Cs2PrUSe4 (PBE).

Summary:
E_tot: -43.323 eV for the cell shown
ΔE_f (raw): -1451 meV per atom
total magnetic moment: 3.00 μB per formula unit
volume: 278 Å³/cell

Unit cell a=4.367 b=7.559 c=8.789 alpha=106.68 beta=90.00 gamma=90.00
Fractional coordinates of all 8 atoms:
Se1 0.000 0.262 0.809
Se2 0.000 0.738 0.191
Se3 0.500 0.221 0.188
Se4 0.500 0.779 0.812
Cs1 0.000 0.500 0.500
Cs2 0.500 0.000 0.500
U1 0.000 0.000 0.000
Pr1 0.500 0.500 0.000

---

Entry 8:
Entry from the Alexandria database: an optimized crystal structure of Cs3Pr3USe8 (PBE).

Summary:
E_tot: -80.392 eV for the cell shown
ΔE_f (raw): -1622 meV per atom
total magnetic moment: 2.00 μB per formula unit
volume: 563 Å³/cell

Unit cell a=8.719 b=8.719 c=9.924 alpha=116.08 beta=90.00 gamma=120.00
Fractional coordinates of all 15 atoms:
Se1 0.730 0.461 0.691
Se2 0.780 0.559 0.317
Se3 0.220 0.963 0.683
Se4 0.743 0.963 0.683
Se5 0.270 0.539 0.309
Se6 0.780 0.037 0.317
Se7 0.220 0.441 0.683
Se8 0.257 0.037 0.317
Pr1 0.000 0.500 0.500
Pr2 0.500 0.000 0.500
Pr3 0.500 0.500 0.500
Cs1 0.000 0.000 0.000
Cs2 0.000 0.500 0.000
Cs3 0.500 0.500 0.000
U1 0.000 0.000 0.500

---

Entry 9:
Entry from the Alexandria database: an optimized crystal structure of CsPrUSe4 (PBE).

Summary:
E_tot: -81.146 eV for the cell shown
ΔE_f (raw): -1388 meV per atom
total magnetic moment: 2.00 μB per formula unit
volume: 529 Å³/cell

Unit cell a=8.922 b=9.028 c=9.483 alpha=121.68 beta=90.00 gamma=119.61
Fractional coordinates of all 14 atoms:
Se1 0.686 0.951 0.725
Se2 0.735 0.049 0.275
Se3 0.738 0.476 0.679
Se4 0.265 0.951 0.725
Se5 0.262 0.524 0.321
Se6 0.262 0.524 0.703
Se7 0.738 0.476 0.297
Se8 0.314 0.049 0.275
Pr1 0.500 0.000 0.000
Pr2 0.500 0.000 0.500
U1 0.500 0.500 0.500
U2 0.000 0.500 0.500
Cs1 0.140 0.280 0.890
Cs2 0.860 0.720 0.110

---

Entry 10:
Entry from the Alexandria database: an optimized crystal structure of CsPrVSe4 (PBE).

Summary:
E_tot: -74.977 eV for the cell shown
ΔE_f (raw): -1257 meV per atom
total magnetic moment: 1.00 μB per formula unit
volume: 462 Å³/cell

Unit cell a=6.918 b=7.051 c=9.962 alpha=90.00 beta=108.24 gamma=90.00
Fractional coordinates of all 14 atoms:
Pr1 0.224 0.250 0.544
Pr2 0.776 0.750 0.456
V1 0.223 0.750 0.334
V2 0.777 0.250 0.666
Se1 0.010 0.996 0.704
Se2 0.990 0.496 0.296
Se3 0.420 0.750 0.183
Se4 0.990 0.004 0.296
Se5 0.580 0.250 0.817
Se6 0.010 0.504 0.704
Se7 0.415 0.750 0.571
Se8 0.585 0.250 0.429
Cs1 0.266 0.250 0.062
Cs2 0.734 0.750 0.938

---

Entry 11:
Entry from the Alexandria database: an optimized crystal structure of Cs3Pr3YSe8 (PBE).

Summary:
E_tot: -76.128 eV for the cell shown
ΔE_f (raw): -1659 meV per atom
total magnetic moment: 0.00 μB per formula unit
volume: 561 Å³/cell

Unit cell a=8.696 b=8.697 c=9.935 alpha=115.90 beta=89.98 gamma=120.10
Fractional coordinates of all 15 atoms:
Se1 0.224 0.447 0.686
Se2 0.268 0.538 0.308
Se3 0.776 0.553 0.314
Se4 0.738 0.962 0.685
Se5 0.262 0.038 0.315
Se6 0.776 0.037 0.315
Se7 0.224 0.963 0.685
Se8 0.732 0.462 0.692
Pr1 0.000 0.500 0.500
Pr2 0.500 0.000 0.500
Pr3 0.500 0.500 0.500
Cs1 0.000 0.500 0.000
Cs2 0.000 0.000 0.000
Cs3 0.500 0.500 0.000
Y1 0.000 0.000 0.500

---

Entry 12:
Entry from the Alexandria database: an optimized crystal structure of Cs2PrYSe4 (PBE).

Summary:
E_tot: -40.707 eV for the cell shown
ΔE_f (raw): -1727 meV per atom
total magnetic moment: 0.00 μB per formula unit
volume: 276 Å³/cell

Unit cell a=4.354 b=7.542 c=8.766 alpha=106.66 beta=90.00 gamma=90.00
Fractional coordinates of all 8 atoms:
Se1 0.500 0.221 0.187
Se2 0.000 0.261 0.810
Se3 0.500 0.779 0.813
Se4 0.000 0.739 0.190
Cs1 0.500 0.000 0.500
Cs2 0.000 0.500 0.500
Pr1 0.500 0.500 0.000
Y1 0.000 0.000 0.000